No. 1
First-principles (PBE-GGA) data for a geometry-optimized PrSbH structure, as listed in Alexandria via LeMat-Bulk.

N(E_F): 4.35 states/eV/cell
offset from the most stable computed form: 219 meV per atom
volume: 22.2 A^3/atom

abc: 8.7020 8.7020 8.7020
angles: 153.27 153.27 38.17
Last column: nearest neighbours and their distance in Å.
Fractional positions:
Pr  0.1017  0.1017  0.0000  4 H 2.62
Pr  0.8983  0.8983  0.0000  4 H 2.62
Sb  0.3047  0.3047  0.0000  5 Pr 3.24-3.34, 4 Sb 3.37
Sb  0.6953  0.6953  0.0000  5 Pr 3.24-3.34, 4 Sb 3.37
H  0.0000  0.5000  0.5000  4 Pr 2.62, 4 H 2.85
H  0.5000  0.0000  0.5000  4 Pr 2.62, 4 H 2.85



No. 2
First-principles (PBE-GGA) data for a geometry-optimized Pr3SbH2 structure, as listed in Alexandria via LeMat-Bulk.

electronic total energy: -4.797 eV/atom
N(E_F): 7.71 states/eV/cell
volume: 24.9 A^3/atom

abc: 11.6373 11.6373 6.4372
angles: 104.24 104.24 20.73
Last column: nearest neighbours and their distance in Å.
Fractional positions:
Pr  0.0427  0.0427  0.2844  2 H 2.39-2.41
Pr  0.2296  0.2296  0.2177  3 H 2.33-2.43
Pr  0.3989  0.3989  0.1507  3 H 2.41-2.44
Pr  0.6011  0.6011  0.8493  3 H 2.41-2.44
Pr  0.7704  0.7704  0.7823  3 H 2.33-2.43
Pr  0.9573  0.9573  0.7156  2 H 2.39-2.41
Sb  0.3498  0.3498  0.5970  1 H 3.09, 6 Pr 3.18-3.34
Sb  0.6502  0.6502  0.4030  1 H 3.09, 6 Pr 3.18-3.34
H  0.0589  0.0589  0.9283  4 Pr 2.39-2.41
H  0.2909  0.2909  0.9791  4 Pr 2.33-2.44
H  0.7091  0.7091  0.0209  4 Pr 2.33-2.44
H  0.9411  0.9411  0.0717  4 Pr 2.39-2.41



No. 3
First-principles (PBE-GGA) data for a geometry-optimized Pr3SbH structure, as listed in Alexandria via LeMat-Bulk.

N(E_F): 4.51 states/eV/cell
offset from the most stable computed form: 0 meV per atom
volume: 25.0 A^3/atom

abc: 5.0011 5.0011 5.0011
angles: 90.00 90.00 90.00
Last column: nearest neighbours and their distance in Å.
Fractional positions:
Pr  0.0000  0.0000  0.5000  2 H 2.50
Pr  0.0000  0.5000  0.0000  2 H 2.50
Pr  0.5000  0.0000  0.0000  2 H 2.50
Sb  0.5000  0.5000  0.5000  12 Pr 3.54
H  0.0000  0.0000  0.0000  6 Pr 2.50



No. 4
First-principles (PBE-GGA) data for a geometry-optimized Pr3Sb2H structure, as listed in Alexandria via LeMat-Bulk.

electronic total energy: -5.085 eV/atom
N(E_F): 6.76 states/eV/cell
volume: 30.1 A^3/atom

abc: 7.4881 7.4881 8.8825
angles: 107.12 107.12 50.11
Last column: nearest neighbours and their distance in Å.
Fractional positions:
Pr  0.0495  0.9505  0.7500  1 H 2.45
Pr  0.3390  0.3451  0.4197  2 H 3.02-3.04, 4 Sb 3.11-3.18
Pr  0.3451  0.3390  0.9197  2 H 3.02-3.04, 4 Sb 3.11-3.18
Pr  0.6549  0.6610  0.0803  2 H 3.02-3.04, 4 Sb 3.11-3.18
Pr  0.6610  0.6549  0.5803  2 H 3.02-3.04, 4 Sb 3.11-3.18
Pr  0.9505  0.0495  0.2500  1 H 2.45
Sb  0.1697  0.1753  0.0856  6 Pr 3.11-3.18
Sb  0.1753  0.1697  0.5856  6 Pr 3.11-3.18
Sb  0.8247  0.8303  0.4144  6 Pr 3.11-3.18
Sb  0.8303  0.8247  0.9144  6 Pr 3.11-3.18
H  0.4355  0.5645  0.7500  1 Pr 2.45
H  0.5645  0.4355  0.2500  1 Pr 2.45



No. 5
First-principles (PBE-GGA) data for a geometry-optimized Pr4SbH structure, as listed in Alexandria via LeMat-Bulk.

electronic total energy: -4.734 eV/atom
N(E_F): 11.69 states/eV/cell
volume: 28.0 A^3/atom

abc: 6.1142 6.3511 9.3090
angles: 80.39 70.87 89.96
Last column: nearest neighbours and their distance in Å.
Fractional positions:
Pr  0.0772  0.3016  0.0936  1 H 2.34
Pr  0.2018  0.2548  0.6800  1 H 3.00, 2 Pr 3.18-3.22, 1 Sb 3.30
Pr  0.3294  0.8018  0.0934  1 H 2.34
Pr  0.3845  0.2464  0.3191  1 H 2.99, 2 Pr 3.18-3.22, 1 Sb 3.30
Pr  0.6155  0.7536  0.6809  1 H 2.99, 2 Pr 3.18-3.22, 1 Sb 3.30
Pr  0.6706  0.1982  0.9066  1 H 2.34
Pr  0.7982  0.7452  0.3200  1 H 3.00, 2 Pr 3.18-3.22, 1 Sb 3.30
Pr  0.9228  0.6984  0.9064  1 H 2.34
Sb  0.2205  0.7509  0.4999  8 Pr 3.30-3.58
Sb  0.7795  0.2491  0.5001  8 Pr 3.30-3.58
H  0.0000  0.0000  0.0000  2 Pr 2.34
H  0.5000  0.5000  0.0000  2 Pr 2.34



No. 6
First-principles (PBE-GGA) data for a geometry-optimized PrSbH structure, as listed in Alexandria via LeMat-Bulk.

N(E_F): 1.52 states/eV/cell
offset from the most stable computed form: 267 meV per atom
volume: 21.9 A^3/atom

abc: 6.2360 6.2360 6.2360
angles: 148.60 148.60 45.00
Last column: nearest neighbours and their distance in Å.
Fractional positions:
Pr  0.0000  0.0000  0.0000  4 H 2.47
Sb  0.2863  0.2863  0.0000  1 H 3.11, 5 Pr 3.30-3.43, 4 Sb 3.38
H  0.5563  0.5563  0.0000  4 Pr 2.47



| no. | density (g/cm3) |
| --- | --- |
| 1 | 6.58 |
| 2 | 6.07 |
| 3 | 7.24 |
| 4 | 6.13 |
| 5 | 6.78 |
| 6 | 6.67 |